VASP calculation (GGA-PBE) on Pr3Tm3Te2Pt after structural relaxation.

## Properties
- Crystal system: hexagonal
- Polymorph energy (0 for the lowest one): 0 meV/atom
- SG: P-62m, No. 189

Unit cell a=8.4604 b=8.4604 c=4.0886 alpha=90.00 beta=90.00 gamma=120.00
Atoms (fractional coordinates):
Te  0.6667  0.3333  0.5000
Tm  0.2363  0.2363  0.5000
Tm  0.7637  0.0000  0.5000
Tm  0.0000  0.7637  0.5000
Te  0.3333  0.6667  0.5000
Pt  0.0000  0.0000  0.0000
Pr  0.5945  0.5945  0.0000
Pr  0.4055  0.0000  0.0000
Pr  0.0000  0.4055  0.0000